No. 1
The following is a PBE-GGA calculation of PaTa2Sn after structural relaxation, from the Alexandria database.

Values from the calculation:
Crystal system: tetragonal
ΔE to the lowest computed polymorph (eV per formula unit): 0.000
V (Å³/cell): 83
Space group: P4/mmm (123)
Energy of formation from the pure elements (eV/atom): 0.068
Calculated total energy (eV/atom): -9.233

a = 4.6835 Å, b = 4.6835 Å, c = 3.7820 Å
α = 90.00°, β = 90.00°, γ = 90.00°
Positions (direct):
Pa 0.0000 0.0000 0.0000
Ta 0.0000 0.5000 0.5000
Ta 0.5000 0.0000 0.5000
Sn 0.5000 0.5000 0.0000



No. 2
The following is a PBE-GGA calculation of Sr2Ga2Ni15 after structural relaxation, from the Alexandria database.

Values from the calculation:
Crystal system: trigonal
V (Å³/cell): 257
Space group: R-3m (166)
Energy of formation from the pure elements (eV/atom): -0.087
Calculated total energy (eV/atom): -5.147

a = 6.4025 Å, b = 6.4025 Å, c = 6.4025 Å
α = 83.09°, β = 83.09°, γ = 83.09°
Positions (direct):
Sr 0.1489 0.1489 0.1489
Sr 0.8511 0.8511 0.8511
Ga 0.3966 0.3966 0.3966
Ga 0.6034 0.6034 0.6034
Ni 0.0000 0.5000 0.5000
Ni 0.1604 0.1604 0.6461
Ni 0.1604 0.6461 0.1604
Ni 0.2124 0.5000 0.7876
Ni 0.2124 0.7876 0.5000
Ni 0.3539 0.8396 0.8396
Ni 0.5000 0.0000 0.5000
Ni 0.5000 0.2124 0.7876
Ni 0.5000 0.5000 0.0000
Ni 0.5000 0.7876 0.2124
Ni 0.6461 0.1604 0.1604
Ni 0.7876 0.2124 0.5000
Ni 0.7876 0.5000 0.2124
Ni 0.8396 0.3539 0.8396
Ni 0.8396 0.8396 0.3539



No. 3
The following is a PBE-GGA calculation of La3Ge2Cl after structural relaxation, from the Alexandria database.

Values from the calculation:
Crystal system: orthorhombic
ΔE to the lowest computed polymorph (eV per formula unit): 2.414
V (Å³/cell): 343
Space group: Cmcm (63)
Raw formation energy (kJ/mol of atoms): -77
Calculated total energy (eV/atom): -5.109

a = 8.0159 Å, b = 8.0159 Å, c = 9.8800 Å
α = 90.00°, β = 90.00°, γ = 147.31°
Positions (direct):
La 0.1303 0.8697 0.5493
La 0.1303 0.8697 0.9507
La 0.3664 0.6336 0.7500
La 0.6336 0.3664 0.2500
La 0.8697 0.1303 0.0493
La 0.8697 0.1303 0.4507
Ge 0.0128 0.9872 0.2500
Ge 0.5000 0.5000 0.0000
Ge 0.5000 0.5000 0.5000
Ge 0.9872 0.0128 0.7500
Cl 0.2782 0.7218 0.2500
Cl 0.7218 0.2782 0.7500



no.,magnetization (Bohr magnetons per cell),density of states at the Fermi level (states/eV/atom)
1,0.0,1.322
2,4.0,1.298
3,2.9,0.802